Entry 1:
The following is a DFT calculation (PBE) of a relaxed structure of LiV2Cl6.

Geometry as POSCAR:
```
LiV2Cl6
1.0
6.6946 -0.2721 -0.2634
1.6040 8.4096 0.1599
1.6040 0.4323 8.4000
Li V Cl
2 4 12
direct
0.2500 0.1020 0.8980
0.7500 0.8980 0.1020
0.2127 0.6157 0.7957
0.2873 0.2043 0.3843
0.7873 0.3843 0.2043
0.7127 0.7957 0.6157
0.4154 0.7093 0.5731
0.0846 0.4269 0.2907
0.5846 0.2907 0.4269
0.9154 0.5731 0.7093
0.8728 0.8706 0.3747
0.6272 0.6253 0.1294
0.1272 0.1294 0.6253
0.3728 0.3747 0.8706
0.1124 0.8132 0.9614
0.3876 0.0386 0.1868
0.8876 0.1868 0.0386
0.6124 0.9614 0.8132
```

- V (Å³ per cell) = 479.41
- E_form (uncorrected) (eV per atom) = -1.1708

=====

Entry 2:
The following is a DFT calculation (PBE) of a relaxed structure of Li2V3Cl8.

Geometry as POSCAR:
```
Li2V3Cl8
1.0
-4.1963 -6.0842 0.5075
8.0352 -1.0985 -0.8032
1.0660 0.1384 10.4747
Li V Cl
4 6 16
direct
0.6340 0.2679 0.1088
0.8660 0.7321 0.6088
0.1340 0.2679 0.3912
0.3660 0.7321 0.8912
0.6216 0.7433 0.2500
0.5000 0.0000 0.5000
0.8784 0.2567 0.7500
0.1216 0.7433 0.2500
0.0000 0.0000 0.0000
0.3784 0.2567 0.7500
0.6450 0.7600 0.0157
0.6151 0.7600 0.4843
0.0067 0.0135 0.7600
0.7403 0.4807 0.7569
0.4933 0.9865 0.2600
0.7597 0.5193 0.2569
0.1450 0.7600 0.4843
0.8849 0.2400 0.9843
0.1151 0.7600 0.0157
0.8550 0.2400 0.5157
0.9933 0.9865 0.2400
0.5067 0.0135 0.7400
0.2597 0.5193 0.2431
0.2403 0.4807 0.7431
0.3849 0.2400 0.5157
0.3550 0.2400 0.9843
```

- V (Å³ per cell) = 566.28
- E_form (uncorrected) (eV per atom) = -1.3142

=====

Entry 3:
The following is a DFT calculation (PBE) of a relaxed structure of LiV3Cl.

Geometry as POSCAR:
```
LiV3Cl
1.0
4.3106 0.0000 0.0000
0.0000 4.3106 0.0000
0.0000 0.0000 4.3106
V Li Cl
3 1 1
direct
0.0000 0.5000 0.0000
0.0000 0.0000 0.5000
0.5000 0.0000 0.0000
0.5000 0.5000 0.5000
0.0000 0.0000 0.0000
```

- V (Å³ per cell) = 80.10
- E_form (uncorrected) (eV per atom) = 0.6443
- energy above the lowest structure with this stoichiometry (meV/atom) = 0

=====

Entry 4:
The following is a DFT calculation (PBE) of a relaxed structure of LiVCl3.

Geometry as POSCAR:
```
LiVCl3
1.0
-2.9383 1.7693 3.0926
-3.2869 -2.8934 -1.4675
1.3754 -3.1347 3.1001
V Li Cl
1 1 3
direct
0.5000 0.5000 0.5000
0.0000 0.0000 0.0000
0.0000 0.5000 0.0000
0.0000 0.0000 0.5000
0.5000 0.0000 0.0000
```

- V (Å³ per cell) = 98.50
- E_form (uncorrected) (eV per atom) = -0.5707
- energy above the lowest structure with this stoichiometry (meV/atom) = 810

=====

Entry 5:
The following is a DFT calculation (PBE) of a relaxed structure of LiV3Cl.

Geometry as POSCAR:
```
LiV3Cl
1.0
4.2652 0.0000 0.0000
0.0000 4.2652 0.0000
0.0000 0.0000 4.2652
V Li Cl
3 1 1
direct
0.0000 0.5000 0.0000
0.0000 0.0000 0.5000
0.5000 0.0000 0.0000
0.0000 0.0000 0.0000
0.5000 0.5000 0.5000
```

- V (Å³ per cell) = 77.59
- E_form (uncorrected) (eV per atom) = 1.5036
- energy above the lowest structure with this stoichiometry (meV/atom) = 859

=====

Entry 6:
The following is a DFT calculation (PBE) of a relaxed structure of LiVCl3.

Geometry as POSCAR:
```
LiVCl3
1.0
-0.7028 -6.3602 0.3440
5.4374 2.6822 2.0748
-5.2007 2.7594 4.0337
Li V Cl
2 2 6
direct
0.6969 0.6969 0.8419
0.3031 0.3031 0.1581
0.8313 0.1687 0.5000
0.1687 0.8313 0.5000
0.2790 0.6345 0.7271
0.3655 0.7210 0.2729
0.9957 0.9957 0.2572
0.0043 0.0043 0.7428
0.6345 0.2790 0.7271
0.7210 0.3655 0.2729
```

- V (Å³ per cell) = 214.50
- E_form (uncorrected) (eV per atom) = -1.3809
- energy above the lowest structure with this stoichiometry (meV/atom) = 0

=====

Entry 7:
The following is a DFT calculation (PBE) of a relaxed structure of Li3VCl6.

Geometry as POSCAR:
```
Li3VCl6
1.0
-1.5237 1.7672 -5.9268
5.3540 -2.9247 -2.2492
-4.9483 -8.1654 -1.1583
Li V Cl
6 2 12
direct
0.4911 0.9579 0.7755
0.5000 0.5000 0.0000
0.5089 0.0421 0.2245
0.9912 0.5419 0.2756
0.0000 0.0000 0.5000
0.0088 0.4581 0.7244
0.5000 0.5000 0.5000
0.0000 0.0000 0.0000
0.6791 0.1755 0.9471
0.6543 0.1916 0.5844
0.6267 0.4145 0.2698
0.3733 0.5855 0.7302
0.3457 0.8084 0.4156
0.3209 0.8245 0.0529
0.1792 0.3245 0.4471
0.1543 0.3084 0.0845
0.1267 0.0855 0.7698
0.8733 0.9145 0.2302
0.8457 0.6916 0.9155
0.8208 0.6755 0.5529
```

- V (Å³ per cell) = 398.33
- E_form (uncorrected) (eV per atom) = -1.5205

=====

Entry 8:
The following is a DFT calculation (PBE) of a relaxed structure of LiV2Cl8.

Geometry as POSCAR:
```
LiV2Cl8
1.0
-2.1768 0.9119 5.8295
-6.6104 -3.6001 -1.5904
1.8198 -7.1693 2.1159
Li V Cl
1 2 8
direct
0.0000 0.0000 0.0000
0.6579 0.7984 0.7984
0.3421 0.2016 0.2016
0.2078 0.2829 0.9377
0.7922 0.0623 0.7171
0.3105 0.8187 0.8187
0.6895 0.1813 0.1813
0.2078 0.9377 0.2829
0.7922 0.7171 0.0623
0.7656 0.6221 0.6221
0.2344 0.3779 0.3779
```

- V (Å³ per cell) = 365.98
- E_form (uncorrected) (eV per atom) = -1.2536

=====

Entry 9:
The following is a DFT calculation (PBE) of a relaxed structure of Li2VCl6.

Geometry as POSCAR:
```
Li2VCl6
1.0
6.0722 0.1558 2.1636
3.2700 9.3403 0.1495
0.0364 -0.0017 9.8973
Li V Cl
4 2 12
direct
0.0281 0.6847 0.7919
0.4719 0.2081 0.3153
0.9719 0.3153 0.2081
0.5281 0.7919 0.6847
0.2500 0.2436 0.7564
0.7500 0.7564 0.2436
0.1912 0.8263 0.6481
0.3088 0.3519 0.1737
0.8088 0.1737 0.3519
0.6912 0.6481 0.8263
0.8599 0.7600 0.4257
0.6401 0.5743 0.2400
0.1401 0.2400 0.5743
0.3599 0.4257 0.7600
0.0438 0.7467 0.0521
0.4562 0.9479 0.2533
0.9562 0.2533 0.9479
0.5438 0.0521 0.7467
```

- V (Å³ per cell) = 555.55
- E_form (uncorrected) (eV per atom) = -1.3218
- energy above the lowest structure with this stoichiometry (meV/atom) = 50

=====

Entry 10:
The following is a DFT calculation (PBE) of a relaxed structure of Li2VCl4.

Geometry as POSCAR:
```
Li2VCl4
1.0
3.6411 0.0000 0.0000
0.0000 5.9477 -2.2461
0.0000 0.1149 6.3566
Li V Cl
2 1 4
direct
0.5000 0.0000 0.5000
0.5000 0.5000 0.0000
0.0000 0.0000 0.0000
0.0000 0.7607 0.2393
0.5000 0.7683 0.7683
0.5000 0.2317 0.2317
0.0000 0.2393 0.7607
```

- V (Å³ per cell) = 138.60
- E_form (uncorrected) (eV per atom) = -1.5221
- energy above the lowest structure with this stoichiometry (meV/atom) = 0

=====

Entry 11:
The following is a DFT calculation (PBE) of a relaxed structure of Li2VCl4.

Geometry as POSCAR:
```
Li2VCl4
1.0
-1.9219 7.0732 -1.0111
-5.7351 -2.1104 -4.1715
0.8435 -2.6213 6.8676
Li V Cl
4 2 8
direct
0.8914 0.1414 0.7500
0.1086 0.8586 0.2500
0.5000 0.5000 0.5000
0.5000 0.0000 0.0000
0.5000 0.5000 0.0000
0.0000 0.5000 0.5000
0.2499 0.2693 0.5193
0.2499 0.7306 0.9807
0.7207 0.7360 0.9846
0.2514 0.7360 0.5154
0.7486 0.2640 0.4846
0.7501 0.2694 0.0193
0.2793 0.2640 0.0154
0.7501 0.7307 0.4807
```

- V (Å³ per cell) = 285.57
- E_form (uncorrected) (eV per atom) = -1.5179
- energy above the lowest structure with this stoichiometry (meV/atom) = 4

=====

Entry 12:
The following is a DFT calculation (PBE) of a relaxed structure of LiW4Cl.

Geometry as POSCAR:
```
LiW4Cl
1.0
-1.1640 4.2177 3.1008
0.6283 4.9768 -1.8963
-4.2977 3.0193 -1.0828
Li W Cl
1 4 1
direct
0.0000 0.0000 0.0000
0.6246 0.6246 0.1263
0.6246 0.1263 0.6246
0.6246 0.6246 0.6246
0.1263 0.6246 0.6246
0.2500 0.2500 0.2500
```

- V (Å³ per cell) = 109.05
- E_form (uncorrected) (eV per atom) = 1.1570

=====

Entry 13:
The following is a DFT calculation (PBE) of a relaxed structure of LiWCl2.

Geometry as POSCAR:
```
LiWCl2
1.0
-3.0244 -0.3185 -2.5861
0.6299 -2.8752 -0.3825
-3.8546 -0.3457 4.5505
Cl Li W
2 1 1
direct
0.0000 0.8506 0.9952
0.0000 0.6494 0.5048
0.5000 0.2500 0.2500
0.5000 0.7500 0.7500
```

- V (Å³ per cell) = 69.64
- E_form (uncorrected) (eV per atom) = -0.0540
- energy above the lowest structure with this stoichiometry (meV/atom) = 390

=====

Entry 14:
The following is a DFT calculation (PBE) of a relaxed structure of Li2WCl.

Geometry as POSCAR:
```
Li2WCl
1.0
5.3718 0.0011 -0.0026
2.7074 4.6396 0.0026
-3.4415 -3.3616 2.3899
Cl Li W
1 2 1
direct
0.7500 0.2500 0.5000
0.9659 0.9659 0.0000
0.5341 0.5341 0.0000
0.2500 0.7500 0.5000
```

- V (Å³ per cell) = 59.59
- E_form (uncorrected) (eV per atom) = 0.4403
- energy above the lowest structure with this stoichiometry (meV/atom) = 651

=====

Entry 15:
The following is a DFT calculation (PBE) of a relaxed structure of LiWCl2.

Geometry as POSCAR:
```
LiWCl2
1.0
3.0381 0.0000 0.0000
0.0000 6.7377 0.0000
0.0000 0.0000 4.0090
Cl Li W
2 1 1
direct
0.0000 0.0000 0.0000
0.5000 0.5000 0.0000
0.5000 0.0000 0.5000
0.0000 0.5000 0.5000
```

- V (Å³ per cell) = 82.07
- E_form (uncorrected) (eV per atom) = 0.2096
- energy above the lowest structure with this stoichiometry (meV/atom) = 653

=====

Entry 16:
The following is a DFT calculation (PBE) of a relaxed structure of Li2WCl.

Geometry as POSCAR:
```
Li2WCl
1.0
-5.1876 -0.7197 -6.6987
-5.3505 -3.4517 -5.6356
-7.0685 -1.3420 -4.5318
Cl Li W
1 2 1
direct
0.7500 0.7500 0.7500
0.0180 0.0180 0.0180
0.4820 0.4820 0.4820
0.2500 0.2500 0.2500
```

- V (Å³ per cell) = 62.20
- E_form (uncorrected) (eV per atom) = -0.2112
- energy above the lowest structure with this stoichiometry (meV/atom) = 0

=====

Entry 17:
The following is a DFT calculation (PBE) of a relaxed structure of Li2WCl.

Geometry as POSCAR:
```
Li2WCl
1.0
-4.6707 0.0303 2.6765
-4.7626 -1.1835 -2.2129
5.0425 -1.8495 0.3643
Cl Li W
1 2 1
direct
0.7500 0.2500 0.5000
0.0000 0.0000 0.0000
0.5000 0.5000 0.0000
0.2500 0.7500 0.5000
```

- V (Å³ per cell) = 60.39
- E_form (uncorrected) (eV per atom) = 0.8603
- energy above the lowest structure with this stoichiometry (meV/atom) = 1071

=====

Entry 18:
The following is a DFT calculation (PBE) of a relaxed structure of Li2WCl.

Geometry as POSCAR:
```
Li2WCl
1.0
2.8528 -0.0095 0.0000
-1.1195 2.6240 0.0000
0.0000 0.0000 8.3654
Cl Li W
1 2 1
direct
0.5000 0.5000 0.7500
0.0000 0.0000 0.9500
0.0000 0.0000 0.5500
0.5000 0.5000 0.2500
```

- V (Å³ per cell) = 62.53
- E_form (uncorrected) (eV per atom) = -0.1737
- energy above the lowest structure with this stoichiometry (meV/atom) = 38

=====

Entry 19:
The following is a DFT calculation (PBE) of a relaxed structure of Li2WCl.

Geometry as POSCAR:
```
Li2WCl
1.0
4.6928 0.0080 -0.0156
3.8150 2.7327 -0.0156
2.0371 0.6562 4.6741
Cl Li W
1 2 1
direct
0.2743 0.2743 0.3733
0.9496 0.9496 0.9652
0.7350 0.7350 0.7717
0.5412 0.5412 0.3898
```

- V (Å³ per cell) = 59.89
- E_form (uncorrected) (eV per atom) = 0.2996
- energy above the lowest structure with this stoichiometry (meV/atom) = 511

=====

Entry 20:
The following is a DFT calculation (PBE) of a relaxed structure of LiWCl2.

Geometry as POSCAR:
```
LiWCl2
1.0
5.7659 0.0318 -0.0013
0.7789 5.7131 -0.0013
1.5427 1.3542 2.1706
Cl Li W
2 1 1
direct
0.0000 0.0000 0.0000
0.5000 0.5000 0.0000
0.5000 0.0000 0.5000
0.0000 0.5000 0.5000
```

- V (Å³ per cell) = 71.47
- E_form (uncorrected) (eV per atom) = 0.0553
- energy above the lowest structure with this stoichiometry (meV/atom) = 499

=====

The evaluated total DFT energy (no corrections) for the records listed, in turn: -4.641; -4.849; -5.579; -3.885; -4.720; -4.695; -4.114; -4.429; -3.991; -4.427; -4.423; -8.105; -4.694; -4.217; -4.430; -4.868; -3.797; -4.831; -4.357; -4.585 eV per atom.